Compound: VCuSe2N
Source: Alexandria
Functional: PBE-GGA
Structure: optimized geometry

The value obtained for the density of states at the Fermi level is 3.20 states/eV per cell. The calculation puts the uncorrected energy at -5.46 eV/atom. The magnetization is 0.00 Bohr magnetons per cell.

The structure belongs to space group P4/mmm (No. 123); the cell edges are 4.9505, 4.9505 and 3.5915 Å and the angles 90.00°, 90.00° and 90.00°. The distinct sites, in fractional coordinates, are V at (0.0000, 0.0000, 0.0000), Cu at (0.5000, 0.5000, 0.5000), Se at (0.0000, 0.5000, 0.0000) and N at (0.0000, 0.0000, 0.5000).